Record 1
Density functional theory data (PBE) for a relaxed structure of BeV3P.

Unit cell a=4.5653 b=5.5790 c=5.5790 alpha=120.00 beta=90.00 gamma=90.00
With the nearest neighbours (Å) after each atom.
Sites, in units of the cell vectors:
V 0.2500 0.3787 0.1895  2 Be 2.16, 2 V 2.41
V 0.7500 0.6213 0.8105  2 Be 2.16, 2 V 2.41
V 0.2500 0.8106 0.1894  2 Be 2.16, 2 V 2.41
V 0.7500 0.1894 0.8106  2 Be 2.16, 2 V 2.41
V 0.7500 0.1895 0.3787  2 Be 2.16, 2 V 2.41
V 0.2500 0.8105 0.6213  2 Be 2.16, 2 V 2.41
Be 0.0000 0.0000 0.0000  6 V 2.16, 2 Be 2.28
Be 0.5000 0.0000 0.0000  6 V 2.16, 2 Be 2.28
P 0.2500 0.3335 0.6665  12 V 2.67-2.80
P 0.7500 0.6665 0.3335  12 V 2.67-2.80

Calculated values
The total magnetization comes out at 0.00 μB/cell. As for the volume: 12.3 Å³/atom. The value obtained for the total energy is -7.1803 eV/atom. The calculation puts the energy above the most stable polymorph in this dataset at 0.00 eV per formula unit. As for the crystal system: hexagonal. Its calculated formation energy is 57.0 kJ/mol of formula units. The space group is No. 194.

Record 2
Density functional theory data (PBE) for a relaxed structure of KY2Zn.

Unit cell a=3.6270 b=3.6270 c=10.3977 alpha=90.00 beta=90.00 gamma=90.00
With the nearest neighbours (Å) after each atom.
Sites, in units of the cell vectors:
Y 0.0000 0.0000 0.4101  4 Zn 3.06, 1 Y 3.33
Y 0.0000 0.0000 0.0899  4 Zn 3.06, 1 Y 3.33
Zn 0.5000 0.5000 0.2500  8 Y 3.06
K 0.5000 0.5000 0.7500  4 K 3.63

Calculated values
The total magnetization comes out at 0.47 μB/cell. As for the volume: 34.2 Å³/atom. The value obtained for the total energy is -3.7624 eV/atom. As for the crystal system: tetragonal. Its calculated formation energy is 24.1 kJ/mol of formula units. The space group is No. 123.

Record 3
Density functional theory data (PBE) for a relaxed structure of LaPtSI2.

Unit cell a=6.3248 b=5.3389 c=6.3248 alpha=90.00 beta=90.00 gamma=90.00
With the nearest neighbours (Å) after each atom.
Sites, in units of the cell vectors:
Pt 0.0000 0.5000 0.0000  2 La 2.67
I 0.5000 0.0000 0.0000  2 La 3.16
I 0.0000 0.0000 0.5000  2 La 3.16
La 0.0000 0.0000 0.0000  2 Pt 2.67
S 0.5000 0.5000 0.5000  8 I 4.14, 4 Pt 4.47

Calculated values
The total magnetization comes out at 2.47 μB/cell. As for the volume: 42.7 Å³/atom. The value obtained for the total energy is -3.4753 eV/atom. As for the energy relative to the elements, uncorrected: 0.82 eV/f.u. As for the crystal system: tetragonal. The space group is No. 123.

Record 4
Density functional theory data (PBE) for a relaxed structure of Ca3Tl4.

Unit cell a=6.7239 b=8.7078 c=8.7078 alpha=113.62 beta=104.92 gamma=104.92
With the nearest neighbours (Å) after each atom.
Sites, in units of the cell vectors:
Ca 0.8702 0.4135 0.1359  8 Tl 3.32-3.42
Ca 0.5433 0.2776 0.4135  8 Tl 3.32-3.42
Ca 0.4567 0.7224 0.5865  8 Tl 3.32-3.42
Ca 0.7343 0.8641 0.2776  8 Tl 3.32-3.42
Ca 0.1298 0.5865 0.8641  8 Tl 3.32-3.42
Ca 0.2657 0.1359 0.7224  8 Tl 3.32-3.42
Tl 0.9316 0.7010 0.5544  7 Ca 3.32-3.42, 2 Tl 3.52-3.67
Tl 0.7693 0.1466 0.7010  7 Ca 3.32-3.42, 2 Tl 3.52-3.67
Tl 0.0684 0.2990 0.4456  7 Ca 3.32-3.42, 2 Tl 3.52-3.67
Tl 0.5000 0.0000 0.0000  6 Ca 3.32, 2 Tl 3.36
Tl 0.6228 0.5544 0.8534  7 Ca 3.32-3.42, 2 Tl 3.52-3.67
Tl 0.0000 0.0000 0.0000  8 Tl 3.36-3.52, 6 Ca 3.72
Tl 0.3772 0.4456 0.1466  7 Ca 3.32-3.42, 2 Tl 3.52-3.67
Tl 0.2307 0.8534 0.2990  7 Ca 3.32-3.42, 2 Tl 3.52-3.67

Calculated values
The total magnetization comes out at 0.00 μB/cell. As for the volume: 29.4 Å³/atom. The value obtained for the total energy is -2.5838 eV/atom. The calculation puts the energy above the most stable polymorph in this dataset at 0.00 eV per formula unit. As for the crystal system: trigonal. Its calculated formation energy is -252.5 kJ/mol of formula units. The space group is No. 148.